Record 1
A relaxed ZnCuAsSe2 crystal. Source: the Alexandria database, functional GGA-PBEsol.

Values from the calculation:
The calculation puts the uncorrected formation energy at 54.75 kJ per mole of atoms. The symmetry is No. 123. The volume is 20.773 Å³ per atom.

Unit cell a=4.817 b=4.817 c=4.476 alpha=90.00 beta=90.00 gamma=90.00
Atoms (fractional coordinates):
1 Zn 0.000 0.000 0.000
2 Cu 0.500 0.500 0.500
3 As 0.500 0.500 0.000
4 Se 0.000 0.500 0.500
5 Se 0.500 0.000 0.500

Record 2
A relaxed Sc2In crystal. Source: the Alexandria database, functional GGA-PBEsol.

Values from the calculation:
The value obtained for the formation energy is -0.070 eV/atom. The symmetry is No. 74. The volume is 24.026 Å³ per atom.

Unit cell a=10.743 b=10.743 c=10.743 alpha=163.37 beta=156.02 gamma=29.32
Atoms (fractional coordinates):
1 Sc 0.295 0.045 0.250
2 Sc 0.434 0.184 0.250
3 Sc 0.566 0.816 0.750
4 Sc 0.705 0.955 0.750
5 In 0.144 0.394 0.750
6 In 0.856 0.606 0.250